VASP calculation (PBE) on a geometry-optimized AsPtW structure.

Computed properties:
As for the space group: F-43m. The calculation puts the distance to the lowest polymorph of the same formula at 176 meV/atom. Its energy of formation from the pure elements is 5.2 kcal/mol of atoms.

abc: 4.303 4.303 4.303
angles: 60.00 60.00 60.00
Atoms (fractional coordinates):
Pt1 0.500 0.500 0.500
W1 0.250 0.250 0.250
As1 0.000 0.000 0.000